(1)
Ba2UTc2N6: relaxed, PBE-GGA.

Summary:
Uncorrected formation energy: -71.1 kJ per mole of atoms

a = 6.137 Å, b = 6.156 Å, c = 6.939 Å
α = 118.52°, β = 90.00°, γ = 119.90°
Positions (direct):
N 0.742 0.485 0.655
Tc 0.951 0.902 0.801
N 0.776 0.055 0.751
Ba 0.718 0.436 0.189
Tc 0.049 0.098 0.199
N 0.279 0.055 0.751
U 0.500 0.000 0.500
N 0.224 0.945 0.249
Ba 0.282 0.564 0.811
N 0.258 0.515 0.345
N 0.721 0.945 0.249

(2)
Ba2YTcN4: relaxed, PBE-GGA.

Summary:
Uncorrected formation energy: -30.6 kJ per mole of atoms

a = 5.876 Å, b = 6.729 Å, c = 10.937 Å
α = 83.26°, β = 74.42°, γ = 64.11°
Positions (direct):
N 0.348 0.813 0.085
Ba 0.815 0.000 0.371
N 0.504 0.313 0.585
N 0.246 0.187 0.915
N 0.911 0.687 0.585
N 0.183 0.313 0.415
Y 0.750 0.500 0.500
Ba 0.185 0.000 0.629
N 0.402 0.687 0.415
Ba 0.565 0.500 0.871
N 0.567 0.187 0.085
N 0.839 0.813 0.915
Tc 0.500 0.000 0.000
Tc 0.250 0.500 0.500
Y 0.000 0.000 0.000
Ba 0.935 0.500 0.129

- The lowest uncorrected formation energy belongs to which entry?
  Ba2UTc2N6

- Among the records above, which one has the lowest uncorrected formation energy?
  Ba2UTc2N6

- Among the records above, which one has the highest uncorrected formation energy?
  Ba2YTcN4

- Which value of uncorrected formation energy does entry 2 give?
  -30.6 kJ per mole of atoms